1.
A relaxed PmPr8Sm6 crystal, computed with PBE.

abc: 8.824 8.824 8.824
angles: 66.51 66.51 66.51
Fractional coordinates of all 15 atoms:
Sm (0.630, 0.343, 0.907)
Sm (0.370, 0.657, 0.093)
Pm (0.000, 0.000, 0.000)
Pr (0.577, 0.873, 0.178)
Pr (0.873, 0.178, 0.577)
Sm (0.657, 0.093, 0.370)
Pr (0.423, 0.127, 0.822)
Sm (0.907, 0.630, 0.343)
Pr (0.822, 0.423, 0.127)
Pr (0.762, 0.762, 0.762)
Pr (0.178, 0.577, 0.873)
Pr (0.238, 0.238, 0.238)
Pr (0.127, 0.822, 0.423)
Sm (0.343, 0.907, 0.630)
Sm (0.093, 0.370, 0.657)

ρ in g/cm³: 6.518
ΔE to the lowest computed polymorph in eV/atom: 0.0872
Space-group type: R-3


2.
A relaxed Ac2SeI3 crystal, computed with PBE.

abc: 5.107 9.448 12.153
angles: 71.83 77.87 74.32
Fractional coordinates of all 12 atoms:
Ac (0.862, 0.468, 0.808)
I (0.772, 0.847, 0.609)
Ac (0.404, 0.750, 0.442)
Se (0.406, 0.511, 0.677)
Ac (0.596, 0.250, 0.558)
Se (0.594, 0.489, 0.323)
I (0.058, 0.124, 0.761)
I (0.657, 0.699, 0.987)
I (0.343, 0.301, 0.013)
I (0.228, 0.153, 0.391)
Ac (0.138, 0.532, 0.192)
I (0.942, 0.876, 0.239)

ρ in g/cm³: 5.711
ΔE to the lowest computed polymorph in eV/atom: 0.0000
Energy relative to the elements, uncorrected in eV/f.u.: -9.43
Space-group type: C2/m


3.
A relaxed AlSbCl2 crystal, computed with PBE.

abc: 9.741 9.741 9.741
angles: 20.71 20.71 20.71
Fractional coordinates of all 4 atoms:
Sb (0.000, 0.000, 0.000)
Cl (0.907, 0.907, 0.907)
Al (0.500, 0.500, 0.500)
Cl (0.093, 0.093, 0.093)

ρ in g/cm³: 3.603
ΔE to the lowest computed polymorph in eV/atom: 0.3528
Energy relative to the elements, uncorrected in eV/f.u.: -1.17
Space-group type: R-3m


Q: Number 2 is which compound?
A: Ac2SeI3


Repeat the second record exactly.
A relaxed Ac2SeI3 crystal, computed with PBE.

abc: 5.107 9.448 12.153
angles: 71.83 77.87 74.32
Fractional coordinates of all 12 atoms:
Ac (0.862, 0.468, 0.808)
I (0.772, 0.847, 0.609)
Ac (0.404, 0.750, 0.442)
Se (0.406, 0.511, 0.677)
Ac (0.596, 0.250, 0.558)
Se (0.594, 0.489, 0.323)
I (0.058, 0.124, 0.761)
I (0.657, 0.699, 0.987)
I (0.343, 0.301, 0.013)
I (0.228, 0.153, 0.391)
Ac (0.138, 0.532, 0.192)
I (0.942, 0.876, 0.239)

ρ in g/cm³: 5.711
ΔE to the lowest computed polymorph in eV/atom: 0.0000
Energy relative to the elements, uncorrected in eV/f.u.: -9.43
Space-group type: C2/m


Q: ΔE to the lowest computed polymorph of number 1 (PmPr8Sm6)?
A: 0.0872 eV/atom